# V2GeHPd PBE optimized geometry
data_V2GeHPd
_space_group_name_H-M_alt 'P 1'
_space_group_IT_number 1
_cell_length_a 3.728
_cell_length_b 3.728
_cell_length_c 4.212
_cell_angle_alpha 90.00
_cell_angle_beta 90.00
_cell_angle_gamma 90.00
loop_
_space_group_symop_operation_xyz
'x,y,z'
loop_
_atom_site_label
_atom_site_type_symbol
_atom_site_fract_x
_atom_site_fract_y
_atom_site_fract_z
V1 V 0.000 0.500 0.000
V2 V 0.500 0.000 0.000
Ge1 Ge 0.000 0.000 0.500
H1 H 0.500 0.500 0.000
Pd1 Pd 0.500 0.500 0.500
# - density of states at the Fermi level (states/eV/atom) = 0.537
# - VASP energy (eV for the cell shown) = -32.58
# - calculated volume (Å³/f.u.) = 58.53
# - magnetization (μB per atom) = 0.000
# - space-group type = P4/mmm
# - mass density (Mg/m³) = 8.00